Cu2TcI PBE relaxed; N(E_F) = 0.508 states/eV/atom; SG = P1; total energy = -38.22 eV per cell
1.0
-0.725 -2.548 -2.751
3.407 2.927 -0.970
6.778 -7.094 4.894
Tc Cu I
2 4 2
direct
0.603 0.884 0.145
0.028 0.731 0.264
0.747 0.160 0.365
0.461 0.609 0.924
0.314 0.305 0.202
0.892 0.464 0.053
0.745 0.180 0.831
0.017 0.724 0.512


LaIr2Ru PBE relaxed; N(E_F) = 1.946 states/eV/atom; SG = R-3m; total energy = -30.43 eV per cell; calculated formation energy = 373 meV/atom
1.0
9.851 -0.018 -0.010
9.439 2.817 -0.010
9.439 1.370 2.462
Ru Ir La
1 2 1
direct
0.750 0.750 0.750
0.011 0.011 0.011
0.489 0.489 0.489
0.250 0.250 0.250


SrLiZnAg2 PBE relaxed; N(E_F) = 0.588 states/eV/atom; SG = P4/mmm; total energy = -10.91 eV per cell; calculated formation energy = -67 meV/atom
1.0
-2.039 1.441 -4.388
-0.820 -4.833 -1.206
-4.324 0.215 2.079
Ag Zn Li Sr
2 1 1 1
direct
0.000 0.500 0.000
0.500 0.000 0.000
0.000 0.000 0.000
0.000 0.000 0.500
0.500 0.500 0.500


LaTc3Ru PBE relaxed; N(E_F) = 1.075 states/eV/atom; SG = Pm-3m; total energy = -40.58 eV per cell; calculated formation energy = 943 meV/atom
1.0
-1.603 3.494 2.757
-4.176 -0.167 -2.217
-1.540 -3.184 3.141
La Tc Ru
1 3 1
direct
0.500 0.500 0.500
0.000 0.000 0.500
0.000 0.500 0.000
0.500 0.000 0.000
0.000 0.000 0.000